ZrAs2IrBr PBE relaxed; E = -5.169 eV/atom; space group = P4/mmm, No. 123; formation energy (no corrections) = 49.0 kJ/mol of atoms
1.0
4.8023 0.0000 0.0000
0.0000 4.8023 0.0000
0.0000 0.0000 5.0362
Br Zr Ir As
1 1 1 2
direct
0.0000 0.0000 0.5000 Br
0.5000 0.5000 0.5000 Zr
0.0000 0.0000 0.0000 Ir
0.5000 0.0000 0.0000 As
0.0000 0.5000 0.0000 As

KAs2Br PBE relaxed; E = -3.249 eV/atom; space group = C2/m, No. 12; formation energy (no corrections) = -22.3 kJ/mol of atoms
1.0
8.5990 -0.0492 -0.0261
-6.6347 5.4705 -0.0261
0.9730 2.6855 2.8200
As Br K
2 1 1
direct
0.0000 0.0000 0.0000 As
0.5000 0.5000 0.0000 As
0.5000 0.0000 0.5000 Br
0.0000 0.5000 0.5000 K